CaGdTm2: optimized geometry, PBE.

The structure in CIF format:
```
data_CaGdTm2
_chemical_formula_sum 'Ca4 Gd4 Tm8'
_symmetry_space_group_name_H-M 'F m -3 m'
_symmetry_Int_Tables_number 225
_symmetry_space_group_name_Hall '-F 4 2 3'
_cell_length_a 8.0652
_cell_length_b 8.0652
_cell_length_c 8.0652
_cell_angle_alpha 90.00
_cell_angle_beta 90.00
_cell_angle_gamma 90.00
loop_
_atom_site_label
_atom_site_type_symbol
_atom_site_fract_x
_atom_site_fract_y
_atom_site_fract_z
_atom_site_occupancy
Ca1 Ca 0.0000 0.0000 0.0000 1
Gd1 Gd 0.0000 0.0000 0.5000 1
Tm1 Tm 0.2500 0.2500 0.2500 1
```

Output
The value obtained for the formation energy is 0.176 eV per atom. The calculation puts the spin magnetization at 8.17 μB/f.u. As for the crystal system: cubic.